# BaHo2Al3Zn6

A geometry-optimized BaHo2Al3Zn6 structure (PBE-GGA, the Alexandria database).

Summary:
- VASP energy (eV/atom) = -2.71
- energy of formation from the pure elements (eV/atom) = -0.212
- symmetry = P4/mmm (123)

Lattice parameters (Å, degrees): 4.220 4.220 14.211 90.00 90.00 90.00
Element x y z (fractional)
Zn 0.500 0.000 0.288
Al 0.000 0.000 0.000
Ho 0.500 0.500 0.121
Zn 0.000 0.000 0.181
Al 0.000 0.000 0.607
Zn 0.000 0.500 0.712
Ba 0.500 0.500 0.500
Ho 0.500 0.500 0.879
Zn 0.000 0.000 0.819
Al 0.000 0.000 0.393
Zn 0.000 0.500 0.288
Zn 0.500 0.000 0.712

# BaAl3I12

A geometry-optimized BaAl3I12 structure (PBE-GGA, the Alexandria database).

Summary:
- VASP energy (eV/atom) = -2.79
- ΔE_f (raw) (kJ/mol of formula units) = -1238
- symmetry = R3c (161)

Lattice parameters (Å, degrees): 12.968 12.968 14.785 63.99 63.99 60.00
Element x y z (fractional)
I 0.887 0.392 0.330
Ba 0.554 0.554 0.337
I 0.006 0.536 0.476
Al 0.940 0.721 0.998
Al 0.841 0.221 0.498
I 0.387 0.891 0.830
I 0.760 0.112 0.039
I 0.391 0.887 0.330
I 0.735 0.754 0.148
Al 0.440 0.841 0.498
I 0.754 0.362 0.148
I 0.036 0.506 0.976
Al 0.221 0.440 0.498
I 0.089 0.760 0.039
I 0.482 0.036 0.976
I 0.506 0.482 0.976
I 0.862 0.254 0.648
I 0.982 0.006 0.476
I 0.536 0.982 0.476
I 0.392 0.391 0.330
I 0.254 0.235 0.648
I 0.235 0.862 0.648
Ba 0.054 0.054 0.837
I 0.891 0.892 0.830
I 0.362 0.735 0.148
I 0.112 0.089 0.039
Al 0.721 0.341 0.998
Al 0.341 0.940 0.998
I 0.589 0.612 0.539
I 0.260 0.589 0.539
I 0.612 0.260 0.539
I 0.892 0.387 0.830

# BaAlI3

A geometry-optimized BaAlI3 structure (PBE-GGA, the Alexandria database).

Summary:
- VASP energy (eV/atom) = -2.87
- excess energy over the best structure of this formula in the dataset (meV/atom) = 0
- ΔE_f (raw) (kJ/mol of formula units) = -389
- symmetry = Pm-3m (221)

Lattice parameters (Å, degrees): 5.891 5.891 5.891 90.00 90.00 90.00
Element x y z (fractional)
Ba 0.500 0.500 0.500
I 0.000 0.000 0.500
Al 0.000 0.000 0.000
I 0.500 0.000 0.000
I 0.000 0.500 0.000

# Ba5AlI4

A geometry-optimized Ba5AlI4 structure (PBE-GGA, the Alexandria database).

Summary:
- VASP energy (eV/atom) = -3.07
- ΔE_f (raw) (kJ/mol of formula units) = -1075
- symmetry = I4/m (87)

Lattice parameters (Å, degrees): 7.073 8.766 8.767 80.62 66.17 66.19
Element x y z (fractional)
I 0.593 0.599 0.217
Ba 0.904 0.375 0.819
I 0.810 0.783 0.599
Ba 0.501 0.000 0.000
I 0.192 0.217 0.401
I 0.409 0.401 0.783
Ba 0.279 0.819 0.625
Al 0.001 0.000 0.000
Ba 0.723 0.181 0.375
Ba 0.098 0.625 0.181

# Ba2Al2I

A geometry-optimized Ba2Al2I structure (PBE-GGA, the Alexandria database).

Summary:
- VASP energy (eV/atom) = -3.00
- ΔE_f (raw) (kJ/mol of formula units) = -202
- symmetry = I4/mmm (139)

Lattice parameters (Å, degrees): 4.105 4.105 10.890 79.14 79.14 90.00
Element x y z (fractional)
Ba 0.387 0.387 0.226
I 0.000 0.000 0.000
Al 0.250 0.750 0.500
Al 0.750 0.250 0.500
Ba 0.613 0.613 0.774

# BaAlI3

A geometry-optimized BaAlI3 structure (PBE-GGA, the Alexandria database).

Summary:
- VASP energy (eV/atom) = -2.79
- excess energy over the best structure of this formula in the dataset (meV/atom) = 80
- ΔE_f (raw) (kJ/mol of formula units) = -351
- symmetry = Pm-3m (221)

Lattice parameters (Å, degrees): 6.721 6.721 6.721 90.00 90.00 90.00
Element x y z (fractional)
Al 0.500 0.500 0.500
Ba 0.000 0.000 0.000
I 0.000 0.500 0.000
I 0.500 0.000 0.000
I 0.000 0.000 0.500

# Ba3AlI

A geometry-optimized Ba3AlI structure (PBE-GGA, the Alexandria database).

Summary:
- VASP energy (eV/atom) = -2.79
- excess energy over the best structure of this formula in the dataset (meV/atom) = 0
- ΔE_f (raw) (kJ/mol of formula units) = -277
- symmetry = P2_1/m (11)

Lattice parameters (Å, degrees): 4.601 10.588 10.290 111.60 90.00 90.00
Each line ends with the local moment (μB).
Element x y z (fractional)
Ba 0.750 0.976 0.300  0.07
Ba 0.750 0.248 0.068  0.02
I 0.750 0.703 0.630  0.00
Ba 0.250 0.625 0.319  0.03
Ba 0.250 0.752 0.932  0.02
Al 0.750 0.572 0.053  0.00
I 0.250 0.297 0.370  0.00
Al 0.250 0.428 0.947  0.00
Ba 0.250 0.024 0.700  0.07
Ba 0.750 0.375 0.681  0.03

# BaAl3I

A geometry-optimized BaAl3I structure (PBE-GGA, the Alexandria database).

Summary:
- VASP energy (eV/atom) = -1.78
- excess energy over the best structure of this formula in the dataset (meV/atom) = 600
- ΔE_f (raw) (kJ/mol of formula units) = 561
- symmetry = Pm-3m (221)

Lattice parameters (Å, degrees): 6.396 6.396 6.396 90.00 90.00 90.00
Element x y z (fractional)
Al 0.000 0.000 0.500
Al 0.500 0.000 0.000
Ba 0.000 0.000 0.000
Al 0.000 0.500 0.000
I 0.500 0.500 0.500

> VASP energy of number 1 (BaHo2Al3Zn6)?

-2.71 eV/atom